Entry 1:
Below is crystalline TbPrCdTc at its relaxed geometry, with properties calculated at the PBE-GGA level.

POSCAR file:
```
TbPrCdTc
1.0
0.000 3.642 3.642
3.642 0.000 3.642
3.642 3.642 0.000
Tb Pr Cd Tc
1 1 1 1
direct
0.000 0.000 0.000
0.500 0.500 0.500
0.750 0.750 0.750
0.250 0.250 0.250
```

Volume in Å³/f.u.: 96.6
E in eV per atom: -5.1805
Space-group type: F-43m
ΔE_f in eV/atom: -0.008

Entry 2:
Below is crystalline Rb4Mn3AgBr12 at its relaxed geometry, with properties calculated at the PBE-GGA level.

POSCAR file:
```
Rb4Mn3AgBr12
1.0
-5.393 5.393 5.393
5.393 -5.393 5.393
5.393 5.393 -5.393
Rb Mn Ag Br
4 3 1 12
direct
0.000 0.000 0.500
0.000 0.500 0.000
0.500 0.000 0.000
0.500 0.500 0.500
0.000 0.500 0.500
0.500 0.000 0.500
0.500 0.500 0.000
0.000 0.000 0.000
0.000 0.262 0.262
0.000 0.738 0.738
0.250 0.500 0.750
0.250 0.750 0.500
0.262 0.000 0.262
0.262 0.262 0.000
0.500 0.250 0.750
0.500 0.750 0.250
0.738 0.000 0.738
0.738 0.738 0.000
0.750 0.250 0.500
0.750 0.500 0.250
```

Energy relative to the elements, uncorrected in kcal/mol of atoms: -25.6
Volume in Å³/f.u.: 627.2
E in eV per atom: -3.8253
Space-group type: Im-3m